[1]
VASP calculation (PBE) on a geometry-optimized SrCd2Rh structure.

Geometry as CIF:
```
data_SrCd2Rh
_space_group_name_H-M_alt 'C 1 2/m 1'
_space_group_IT_number 12
_cell_length_a 12.108
_cell_length_b 3.362
_cell_length_c 5.101
_cell_angle_alpha 90.00
_cell_angle_beta 114.49
_cell_angle_gamma 90.00
loop_
_space_group_symop_operation_xyz
'x,y,z'
'-x,-y,-z'
'-x,y,-z'
'x,-y,z'
'x+1/2,y+1/2,z'
'-x+1/2,-y+1/2,-z'
'-x+1/2,y+1/2,-z'
'x+1/2,-y+1/2,z'
loop_
_atom_site_label
_atom_site_fract_x
_atom_site_fract_y
_atom_site_fract_z
Sr1 0.000 0.000 0.000
Cd1 0.204 0.000 0.704
Rh1 0.000 0.500 0.500
```

Results
Density, g cm⁻³: 7.3
Energy of formation, eV/atom: -0.1953


[2]
VASP calculation (PBE) on a geometry-optimized Sr3CdRh3 structure.

Geometry as CIF:
```
data_Sr3CdRh3
_space_group_name_H-M_alt 'C m c m'
_space_group_IT_number 63
_space_group_name_Hall '-C 2c 2'
_cell_length_a 4.579
_cell_length_b 10.983
_cell_length_c 14.087
_cell_angle_alpha 90.00
_cell_angle_beta 90.00
_cell_angle_gamma 90.00
loop_
_atom_site_label
_atom_site_fract_x
_atom_site_fract_y
_atom_site_fract_z
Sr1 0.000 0.002 0.250
Sr2 0.000 0.287 0.106
Cd1 0.000 0.000 0.000
Rh1 0.000 0.305 0.750
Rh2 0.000 0.425 0.592
```

Results
Density, g cm⁻³: 6.4
Energy of formation, eV/atom: -0.3120


[3]
VASP calculation (PBE) on a geometry-optimized SrCd2Rh structure.

Geometry as CIF:
```
data_SrCd2Rh
_space_group_name_H-M_alt 'P 4 m m'
_space_group_IT_number 99
_cell_length_a 3.577
_cell_length_b 3.577
_cell_length_c 7.435
_cell_angle_alpha 90.00
_cell_angle_beta 90.00
_cell_angle_gamma 90.00
loop_
_space_group_symop_operation_xyz
'x,y,z'
'-y,x,z'
'-x,-y,z'
'y,-x,z'
'-x,y,z'
'y,x,z'
'x,-y,z'
'-y,-x,z'
loop_
_atom_site_label
_atom_site_fract_x
_atom_site_fract_y
_atom_site_fract_z
Sr1 0.000 0.000 0.000
Cd1 0.000 0.000 0.567
Cd2 0.500 0.500 0.336
Rh1 0.500 0.500 0.733
```

Results
Density, g cm⁻³: 7.3
Energy of formation, eV/atom: -0.1473


[4]
VASP calculation (PBE) on a geometry-optimized Sr8CdRh2 structure.

Geometry as CIF:
```
data_Sr8CdRh2
_space_group_name_H-M_alt 'P -1'
_space_group_IT_number 2
_cell_length_a 7.222
_cell_length_b 7.907
_cell_length_c 7.928
_cell_angle_alpha 88.64
_cell_angle_beta 77.57
_cell_angle_gamma 87.81
loop_
_space_group_symop_operation_xyz
'x,y,z'
'-x,-y,-z'
loop_
_atom_site_label
_atom_site_fract_x
_atom_site_fract_y
_atom_site_fract_z
Sr1 0.162 0.119 0.284
Sr2 0.209 0.239 0.809
Sr3 0.240 0.599 0.436
Sr4 0.310 0.703 0.914
Cd1 0.500 0.000 0.500
Rh1 0.037 0.451 0.165
```

Results
Density, g cm⁻³: 3.8
Energy of formation, eV/atom: -0.1794


[5]
VASP calculation (PBE) on a geometry-optimized Sr2Cd9Rh3 structure.

Geometry as CIF:
```
data_Sr2Cd9Rh3
_space_group_name_H-M_alt 'C 1 2/c 1'
_space_group_IT_number 15
_cell_length_a 14.804
_cell_length_b 8.164
_cell_length_c 11.637
_cell_angle_alpha 90.00
_cell_angle_beta 116.10
_cell_angle_gamma 90.00
loop_
_space_group_symop_operation_xyz
'x,y,z'
'-x,-y,-z'
'-x,y,-z+1/2'
'x,-y,z+1/2'
'x+1/2,y+1/2,z'
'-x+1/2,-y+1/2,-z'
'-x+1/2,y+1/2,-z+1/2'
'x+1/2,-y+1/2,z+1/2'
loop_
_atom_site_label
_atom_site_fract_x
_atom_site_fract_y
_atom_site_fract_z
Sr1 0.176 0.070 0.244
Cd1 0.000 0.326 0.250
Cd2 0.060 0.083 0.925
Cd3 0.095 0.413 0.041
Cd4 0.107 0.320 0.749
Cd5 0.223 0.413 0.438
Rh1 0.089 0.237 0.508
Rh2 0.250 0.250 0.000
```

Results
Density, g cm⁻³: 7.9
Energy of formation, eV/atom: -0.2321


[6]
VASP calculation (PBE) on a geometry-optimized Sr6CdRh2 structure.

Geometry as CIF:
```
data_Sr6CdRh2
_space_group_name_H-M_alt 'I m m m'
_space_group_IT_number 71
_space_group_name_Hall '-I 2 2'
_cell_length_a 10.317
_cell_length_b 10.489
_cell_length_c 11.574
_cell_angle_alpha 90.00
_cell_angle_beta 90.00
_cell_angle_gamma 90.00
loop_
_atom_site_label
_atom_site_fract_x
_atom_site_fract_y
_atom_site_fract_z
Sr1 0.000 0.202 0.244
Sr2 0.173 0.500 0.159
Sr3 0.208 0.324 0.500
Cd1 0.000 0.000 0.000
Cd2 0.000 0.000 0.500
Rh1 0.000 0.283 0.000
Rh2 0.000 0.500 0.377
```

Results
Density, g cm⁻³: 4.5
Energy of formation, eV/atom: -0.2283


[7]
VASP calculation (PBE) on a geometry-optimized Sr2Cd2Rh structure.

Geometry as CIF:
```
data_Sr2Cd2Rh
_space_group_name_H-M_alt 'C 1 2/m 1'
_space_group_IT_number 12
_cell_length_a 11.654
_cell_length_b 4.402
_cell_length_c 12.216
_cell_angle_alpha 90.00
_cell_angle_beta 111.93
_cell_angle_gamma 90.00
loop_
_space_group_symop_operation_xyz
'x,y,z'
'-x,-y,-z'
'-x,y,-z'
'x,-y,z'
'x+1/2,y+1/2,z'
'-x+1/2,-y+1/2,-z'
'-x+1/2,y+1/2,-z'
'x+1/2,-y+1/2,z'
loop_
_atom_site_label
_atom_site_fract_x
_atom_site_fract_y
_atom_site_fract_z
Sr1 0.003 0.000 0.161
Sr2 0.200 0.000 0.636
Cd1 0.020 0.500 0.387
Cd2 0.183 0.500 0.052
Rh1 0.188 0.500 0.817
```

Results
Density, g cm⁻³: 5.7
Energy relative to the lowest polymorph listed for this composition, meV/atom: 0
Energy of formation, eV/atom: -0.3349


[8]
VASP calculation (PBE) on a geometry-optimized SrCd7Rh5 structure.

Geometry as CIF:
```
data_SrCd7Rh5
_space_group_name_H-M_alt 'I m m 2'
_space_group_IT_number 44
_cell_length_a 5.739
_cell_length_b 9.415
_cell_length_c 9.396
_cell_angle_alpha 90.00
_cell_angle_beta 90.00
_cell_angle_gamma 90.00
loop_
_space_group_symop_operation_xyz
'x,y,z'
'-x,-y,z'
'-x,y,z'
'x,-y,z'
'x+1/2,y+1/2,z+1/2'
'-x+1/2,-y+1/2,z+1/2'
'-x+1/2,y+1/2,z+1/2'
'x+1/2,-y+1/2,z+1/2'
loop_
_atom_site_label
_atom_site_fract_x
_atom_site_fract_y
_atom_site_fract_z
Sr1 0.000 0.000 0.000
Cd1 0.000 0.000 0.330
Cd2 0.000 0.000 0.658
Cd3 0.000 0.291 0.488
Cd4 0.000 0.339 0.977
Cd5 0.000 0.500 0.255
Rh1 0.000 0.500 0.721
Rh2 0.245 0.246 0.233
```

Results
Density, g cm⁻³: 9.1
Energy of formation, eV/atom: -0.1786


[9]
VASP calculation (PBE) on a geometry-optimized Sr4Cd5Rh2 structure.

Geometry as CIF:
```
data_Sr4Cd5Rh2
_space_group_name_H-M_alt 'P 1 2/m 1'
_space_group_IT_number 10
_cell_length_a 7.710
_cell_length_b 4.576
_cell_length_c 9.125
_cell_angle_alpha 90.00
_cell_angle_beta 90.51
_cell_angle_gamma 90.00
loop_
_space_group_symop_operation_xyz
'x,y,z'
'-x,-y,-z'
'-x,y,-z'
'x,-y,z'
loop_
_atom_site_label
_atom_site_fract_x
_atom_site_fract_y
_atom_site_fract_z
Sr1 0.200 0.000 0.342
Sr2 0.223 0.000 0.905
Cd1 0.146 0.500 0.626
Cd2 0.420 0.500 0.146
Cd3 0.500 0.500 0.500
Rh1 0.060 0.500 0.132
```

Results
Density, g cm⁻³: 5.8
Energy of formation, eV/atom: -0.2967


[10]
VASP calculation (PBE) on a geometry-optimized SrCd2Rh structure.

Geometry as CIF:
```
data_SrCd2Rh
_space_group_name_H-M_alt 'P 4/m m m'
_space_group_IT_number 123
_space_group_name_Hall '-P 4 2'
_cell_length_a 3.523
_cell_length_b 3.523
_cell_length_c 7.498
_cell_angle_alpha 90.00
_cell_angle_beta 90.00
_cell_angle_gamma 90.00
loop_
_atom_site_label
_atom_site_fract_x
_atom_site_fract_y
_atom_site_fract_z
Sr1 0.000 0.000 0.000
Cd1 0.500 0.500 0.308
Rh1 0.000 0.000 0.500
```

Results
Density, g cm⁻³: 7.4
Energy of formation, eV/atom: -0.1204


[11]
VASP calculation (PBE) on a geometry-optimized SrCd2Rh structure.

Geometry as CIF:
```
data_SrCd2Rh
_space_group_name_H-M_alt 'F m -3 m'
_space_group_IT_number 225
_space_group_name_Hall '-F 4 2 3'
_cell_length_a 7.151
_cell_length_b 7.151
_cell_length_c 7.151
_cell_angle_alpha 90.00
_cell_angle_beta 90.00
_cell_angle_gamma 90.00
loop_
_atom_site_label
_atom_site_fract_x
_atom_site_fract_y
_atom_site_fract_z
Sr1 0.000 0.000 0.000
Cd1 0.250 0.250 0.250
Rh1 0.000 0.000 0.500
```

Results
Density, g cm⁻³: 7.5
Energy of formation, eV/atom: -0.0750


[12]
VASP calculation (PBE) on a geometry-optimized SrCd2Rh structure.

Geometry as CIF:
```
data_SrCd2Rh
_space_group_name_H-M_alt 'C 1 m 1'
_space_group_IT_number 8
_cell_length_a 8.195
_cell_length_b 4.734
_cell_length_c 6.075
_cell_angle_alpha 90.00
_cell_angle_beta 116.91
_cell_angle_gamma 90.00
loop_
_space_group_symop_operation_xyz
'x,y,z'
'x,-y,z'
'x+1/2,y+1/2,z'
'x+1/2,-y+1/2,z'
loop_
_atom_site_label
_atom_site_fract_x
_atom_site_fract_y
_atom_site_fract_z
Sr1 0.000 0.000 0.000
Cd1 0.034 0.500 0.601
Cd2 0.297 0.500 0.392
Rh1 0.190 0.000 0.569
```

Results
Density, g cm⁻³: 6.6
Energy of formation, eV/atom: -0.2473


no.,electronic total energy (eV/f.u.)
1,-11.6
2,-30.2
3,-11.5
4,-31.0
5,-36.9
6,-27.8
7,-14.2
8,-47.2
9,-29.3
10,-11.3
11,-11.2
12,-11.9